No. 1
# InHg6Br2

InHg6Br2 after structural relaxation (PBE, the Alexandria database).

The structure in POSCAR format:
```
InHg6Br2
1.0
3.827 -9.433 0.000
3.827 9.433 0.000
-0.187 0.000 4.269
In Hg Br
1 6 2
direct
0.000 0.000 0.000
0.147 0.563 0.749
0.359 0.359 0.254
0.437 0.853 0.251
0.563 0.147 0.749
0.641 0.641 0.746
0.853 0.437 0.251
0.115 0.885 0.500
0.885 0.115 0.500
```

Computed properties:
Total moment   0.0 μB/f.u.
E_form (uncorrected)   -17.9 kJ per mole of atoms


No. 2
# La3AuC

La3AuC after structural relaxation (PBE, the Alexandria database).

The structure in POSCAR format:
```
La3AuC
1.0
6.569 0.000 0.000
0.000 12.643 0.000
0.000 0.000 7.418
La Au C
12 4 4
direct
0.115 0.109 0.112
0.115 0.391 0.112
0.135 0.250 0.611
0.365 0.750 0.111
0.385 0.609 0.612
0.385 0.891 0.612
0.615 0.109 0.388
0.615 0.391 0.388
0.635 0.250 0.889
0.865 0.750 0.389
0.885 0.609 0.888
0.885 0.891 0.888
0.000 0.000 0.500
0.000 0.500 0.500
0.500 0.000 0.000
0.500 0.500 0.000
0.014 0.250 0.922
0.486 0.750 0.422
0.514 0.250 0.578
0.986 0.750 0.078
```

Computed properties:
Total moment   0.0 μB/f.u.
Energy of formation   -0.17 eV/atom
Distance to the lowest polymorph of the same formula   101 kJ/mol of formula units